Entry 1:
{"formula": "K3RbNi", "functional": "GGA-PBE", "state": "relaxed", "vol_a3_per_cell": 476, "formation_energy_ev_per_atom": 1.022, "mass_density_g_cm3": 0.91, "sg": "Pm-3m (221)", "cell": [[7.810, 0.000, 0.000], [0.000, 7.810, 0.000], [0.000, 0.000, 7.810]], "species": ["K", "K", "K", "Rb", "Ni"], "fractional_positions": [[0.000, 0.000, 0.500], [0.000, 0.500, 0.000], [0.500, 0.000, 0.000], [0.000, 0.000, 0.000], [0.500, 0.500, 0.500]]}

***

Entry 2:
{"formula": "TaInAu2", "functional": "GGA-PBE", "state": "relaxed", "vol_a3_per_cell": 76, "formation_energy_ev_per_atom": 0.091, "mass_density_g_cm3": 15.07, "sg": "Cm (8)", "cell": [[4.705, -1.536, 0.000], [4.705, 1.536, 0.000], [-1.023, 0.000, 5.259]], "species": ["Ta", "In", "Au", "Au"], "fractional_positions": [[0.000, 0.000, 0.000], [0.751, 0.751, 0.295], [0.253, 0.253, 0.797], [0.499, 0.499, 0.523]]}

***

Entry 3:
{"formula": "Pm2DySc4", "functional": "GGA-PBE", "state": "relaxed", "vol_a3_per_cell": 399, "formation_energy_ev_per_atom": 0.194, "mass_density_g_cm3": 5.26, "sg": "P1 (1)", "cell": [[6.504, 0.000, 0.000], [3.250, 7.829, 0.000], [3.249, -0.355, 7.844]], "species": ["Pm", "Pm", "Pm", "Pm", "Dy", "Dy", "Sc", "Sc", "Sc", "Sc", "Sc", "Sc", "Sc", "Sc"], "fractional_positions": [[0.000, 0.000, 0.000], [0.108, 0.986, 0.544], [0.509, 0.499, 0.501], [0.639, 0.013, 0.456], [0.114, 0.539, 0.986], [0.639, 0.460, 0.015], [0.043, 0.360, 0.644], [0.046, 0.638, 0.358], [0.411, 0.250, 0.250], [0.479, 0.752, 0.756], [0.482, 0.147, 0.855], [0.483, 0.853, 0.146], [0.911, 0.749, 0.751], [0.986, 0.248, 0.245]]}

***

Entry 4:
{"formula": "Ba2SrLiCr", "functional": "GGA-PBE", "state": "relaxed", "vol_a3_per_cell": 236, "formation_energy_ev_per_atom": 0.499, "mass_density_g_cm3": 2.96, "sg": "P4/mmm (123)", "cell": [[6.601, 0.000, 0.000], [0.000, 6.601, 0.000], [0.000, 0.000, 5.418]], "species": ["Ba", "Ba", "Sr", "Li", "Cr"], "fractional_positions": [[0.000, 0.500, 0.000], [0.500, 0.000, 0.000], [0.000, 0.000, 0.500], [0.500, 0.500, 0.500], [0.500, 0.500, 0.000]]}

***

Entry 5:
{"formula": "K2CaBe", "functional": "GGA-PBE", "state": "relaxed", "vol_a3_per_cell": 182, "formation_energy_ev_per_atom": 0.465, "mass_density_g_cm3": 1.16, "sg": "C2/m (12)", "cell": [[10.510, -1.962, 0.000], [10.510, 1.962, 0.000], [-0.960, 0.000, 4.408]], "species": ["K", "K", "Ca", "Be"], "fractional_positions": [[0.155, 0.155, 0.153], [0.845, 0.845, 0.847], [0.000, 0.000, 0.500], [0.500, 0.500, 0.000]]}

***

Entry 6:
{"formula": "TbSmZnIr", "functional": "GGA-PBE", "state": "relaxed", "vol_a3_per_cell": 93, "formation_energy_ev_per_atom": -0.577, "mass_density_g_cm3": 10.14, "sg": "Amm2 (38)", "relative_energy_mev_per_atom": 0.0, "cell": [[4.355, 0.000, 0.000], [0.000, 1.982, 5.378], [0.000, -1.982, 5.378]], "species": ["Tb", "Sm", "Zn", "Ir"], "fractional_positions": [[0.000, 0.000, 0.000], [0.500, 0.279, 0.279], [0.000, 0.708, 0.708], [0.500, 0.565, 0.565]]}

***

- What is the formula in the sixth record?
  TbSmZnIr